Record 1
First-principles (GGA-PBE) data for an optimized crystal structure of Li3Ge4Pt4, as listed in Alexandria.

## Properties
**E_tot**: -4.869 eV per atom
**Formation enthalpy at 0 K**: -471 meV per atom

a = 2.908 Å, b = 4.532 Å, c = 13.525 Å
α = 80.36°, β = 83.74°, γ = 89.79°
Fractional coordinates of all 11 atoms:
Ge 0.270 0.270 0.460
Ge 0.730 0.730 0.540
Ge 0.594 0.091 0.818
Ge 0.406 0.909 0.182
Li 0.000 0.000 0.000
Li 0.860 0.361 0.278
Li 0.140 0.639 0.722
Pt 0.556 0.553 0.894
Pt 0.684 0.185 0.631
Pt 0.316 0.815 0.369
Pt 0.444 0.447 0.106

***

Record 2
First-principles (GGA-PBE) data for an optimized crystal structure of BaNdAg4, as listed in Alexandria.

## Properties
**E_tot**: -3.109 eV per atom
**Formation enthalpy at 0 K**: -93 meV per atom

a = 5.953 Å, b = 5.953 Å, c = 5.953 Å
α = 60.00°, β = 60.00°, γ = 60.00°
Fractional coordinates of all 6 atoms:
Ag 0.624 0.624 0.624
Ag 0.624 0.624 0.127
Ag 0.127 0.624 0.624
Ag 0.624 0.127 0.624
Ba 0.000 0.000 0.000
Nd 0.250 0.250 0.250

***

Record 3
First-principles (GGA-PBE) data for an optimized crystal structure of Li2CaTa, as listed in Alexandria.

## Properties
**E_tot**: -3.414 eV per atom
**Formation enthalpy at 0 K**: 1007 meV per atom

a = 7.653 Å, b = 7.653 Å, c = 6.191 Å
α = 51.82°, β = 51.82°, γ = 90.00°
Site moments in Bohr magnetons follow the coordinates.
Fractional coordinates of all 8 atoms:
Ca 0.250 0.750 0.500  0.10
Ca 0.500 0.500 0.000  0.10
Li 0.375 0.362 0.750  0.04
Li 0.112 0.625 0.250  0.03
Li 0.875 0.888 0.750  0.03
Li 0.638 0.125 0.250  0.04
Ta 0.750 0.250 0.500  1.17
Ta 0.000 0.000 0.000  1.18

***

Record 4
First-principles (GGA-PBE) data for an optimized crystal structure of Tl4Ag5, as listed in Alexandria.

## Properties
**E_tot**: -2.466 eV per atom
**Formation enthalpy at 0 K**: 170 meV per atom

a = 8.839 Å, b = 8.839 Å, c = 6.119 Å
α = 90.00°, β = 90.00°, γ = 120.00°
Fractional coordinates of all 18 atoms:
Ag 0.667 0.667 0.750
Ag 0.333 0.667 0.000
Ag 0.667 0.000 0.250
Ag 0.000 0.667 0.250
Ag 0.000 0.333 0.750
Ag 0.333 0.333 0.250
Ag 0.667 0.333 0.500
Ag 0.333 0.667 0.500
Ag 0.333 0.000 0.750
Ag 0.667 0.333 0.000
Tl 0.000 0.000 0.000
Tl 0.345 0.345 0.750
Tl 0.655 0.000 0.750
Tl 0.000 0.000 0.500
Tl 0.345 0.000 0.250
Tl 0.000 0.655 0.750
Tl 0.655 0.655 0.250
Tl 0.000 0.345 0.250

***

Record 5
First-principles (GGA-PBE) data for an optimized crystal structure of Fe2NiB2, as listed in Alexandria.

## Properties
**E_tot**: -7.453 eV per atom
**Formation enthalpy at 0 K**: -241 meV per atom

a = 2.862 Å, b = 2.932 Å, c = 5.394 Å
α = 105.77°, β = 90.00°, γ = 90.00°
Site moments in Bohr magnetons follow the coordinates.
Fractional coordinates of all 5 atoms:
B 0.000 0.201 0.401  -0.06
B 0.000 0.799 0.599  -0.06
Fe 0.500 0.355 0.709  1.48
Fe 0.500 0.645 0.291  1.48
Ni 0.000 0.000 0.000  0.23

***

Record 6
First-principles (GGA-PBE) data for an optimized crystal structure of CaTb2CdPd4, as listed in Alexandria.

## Properties
**E_tot**: -4.856 eV per atom
**Formation enthalpy at 0 K**: -737 meV per atom

a = 4.889 Å, b = 4.889 Å, c = 8.500 Å
α = 73.29°, β = 73.29°, γ = 60.00°
Fractional coordinates of all 8 atoms:
Tb 0.755 0.755 0.735
Tb 0.245 0.245 0.265
Pd 0.875 0.875 0.374
Pd 0.125 0.125 0.626
Pd 0.377 0.377 0.869
Pd 0.623 0.623 0.131
Cd 0.500 0.500 0.500
Ca 0.000 0.000 0.000

***

Record 7
First-principles (GGA-PBE) data for an optimized crystal structure of AcHo2In, as listed in Alexandria.

## Properties
**E_tot**: -4.206 eV per atom
**Formation enthalpy at 0 K**: -205 meV per atom

a = 3.701 Å, b = 3.701 Å, c = 9.283 Å
α = 90.00°, β = 90.00°, γ = 90.00°
Fractional coordinates of all 4 atoms:
Ho 0.000 0.000 0.788
Ho 0.000 0.000 0.212
Ac 0.500 0.500 0.500
In 0.500 0.500 0.000

***

Record 8
First-principles (GGA-PBE) data for an optimized crystal structure of Pr2Mg, as listed in Alexandria.

## Properties
**E_tot**: -3.778 eV per atom
**Formation enthalpy at 0 K**: -61 meV per atom

a = 9.053 Å, b = 9.053 Å, c = 5.686 Å
α = 90.00°, β = 90.00°, γ = 155.23°
Fractional coordinates of all 6 atoms:
Pr 0.914 0.086 0.750
Pr 0.086 0.914 0.250
Pr 0.228 0.772 0.750
Pr 0.772 0.228 0.250
Mg 0.569 0.431 0.750
Mg 0.431 0.569 0.250

***

Record 9
First-principles (GGA-PBE) data for an optimized crystal structure of SrLaEuNbO6, as listed in Alexandria.

## Properties
**E_tot**: -8.593 eV per atom
**Uncorrected formation energy**: -2.92 eV per atom

a = 5.967 Å, b = 5.967 Å, c = 8.733 Å
α = 90.00°, β = 90.00°, γ = 90.00°
Site moments in Bohr magnetons follow the coordinates.
Fractional coordinates of all 20 atoms:
Eu 0.000 0.000 0.500  6.82
Eu 0.500 0.500 0.500  6.82
Sr 0.000 0.000 0.000  0.00
Sr 0.500 0.500 0.000  0.00
O 0.500 0.000 0.018  0.00
O 0.195 0.850 0.253  -0.01
O 0.305 0.350 0.747  -0.01
O 0.850 0.195 0.747  -0.01
O 0.805 0.150 0.253  -0.01
O 0.500 0.000 0.484  -0.02
O 0.150 0.805 0.747  -0.01
O 0.000 0.500 0.516  -0.02
O 0.650 0.695 0.253  -0.01
O 0.350 0.305 0.253  -0.01
O 0.000 0.500 0.982  0.00
O 0.695 0.650 0.747  -0.01
Nb 0.500 0.000 0.252  0.07
Nb 0.000 0.500 0.748  0.07
La 0.000 0.500 0.250  0.02
La 0.500 0.000 0.750  0.02

***

Record 10
First-principles (GGA-PBE) data for an optimized crystal structure of Sr3B2S6, as listed in Alexandria.

## Properties
**E_tot**: -5.325 eV per atom
**Uncorrected formation energy**: -1.40 eV per atom

a = 6.139 Å, b = 6.139 Å, c = 15.620 Å
α = 79.83°, β = 79.83°, γ = 65.81°
Fractional coordinates of all 22 atoms:
Sr 0.674 0.651 0.413
Sr 0.016 0.984 0.250
Sr 0.651 0.674 0.913
Sr 0.349 0.326 0.087
Sr 0.326 0.349 0.587
Sr 0.984 0.016 0.750
B 0.262 0.460 0.864
B 0.460 0.262 0.364
B 0.738 0.540 0.136
B 0.540 0.738 0.636
S 0.772 0.450 0.607
S 0.228 0.550 0.393
S 0.468 0.087 0.280
S 0.550 0.228 0.893
S 0.532 0.913 0.720
S 0.719 0.132 0.428
S 0.868 0.281 0.072
S 0.132 0.719 0.928
S 0.450 0.772 0.107
S 0.281 0.868 0.572
S 0.913 0.532 0.220
S 0.087 0.468 0.780

***

Record 11
First-principles (GGA-PBE) data for an optimized crystal structure of TiMnTl3, as listed in Alexandria.

## Properties
**E_tot**: -4.051 eV per atom
**Formation enthalpy at 0 K**: 781 meV per atom

a = 5.109 Å, b = 5.109 Å, c = 5.109 Å
α = 90.00°, β = 90.00°, γ = 90.00°
Site moments in Bohr magnetons follow the coordinates.
Fractional coordinates of all 5 atoms:
Mn 0.000 0.000 0.000  2.50
Tl 0.000 0.000 0.500  -0.02
Tl 0.500 0.000 0.000  -0.08
Tl 0.000 0.500 0.000  -0.06
Ti 0.500 0.500 0.500  1.64

***

Record 12
First-principles (GGA-PBE) data for an optimized crystal structure of Cd4Ag5Au4, as listed in Alexandria.

## Properties
**E_tot**: -2.481 eV per atom
**Formation enthalpy at 0 K**: -94 meV per atom

a = 4.279 Å, b = 7.850 Å, c = 7.850 Å
α = 85.74°, β = 74.18°, γ = 74.18°
Fractional coordinates of all 13 atoms:
Au 0.616 0.304 0.465
Au 0.920 0.465 0.696
Au 0.384 0.696 0.535
Au 0.080 0.535 0.304
Ag 0.690 0.850 0.770
Ag 0.310 0.150 0.230
Ag 0.460 0.230 0.850
Ag 0.540 0.770 0.150
Ag 0.000 0.000 0.000
Cd 0.852 0.916 0.380
Cd 0.232 0.620 0.916
Cd 0.148 0.084 0.620
Cd 0.768 0.380 0.084